1.
## TbPmPr4 (PBE)

Data for a relaxed structure of TbPmPr4.

Summary:
- DOS at the Fermi energy (states/eV/f.u.) = 9.062
- V (Å³ per cell) = 211
- DFT total energy (eV/cell) = -28.42
- space group = C2/m
- energy above the most stable polymorph in this dataset (eV/atom) = 0.000

Cell: 6.3710 6.3710 6.3703 Å, 99.58 99.58 119.92°
Closest atoms and distances in Å follow each position.
Sites, in units of the cell vectors:
1 Tb 0.0000 0.0000 0.0000  10 Pr 3.67-3.68, 2 Pm 3.68
2 Pm 0.5000 0.5000 0.5000  10 Pr 3.68-3.69, 2 Tb 3.68
3 Pr 0.1657 0.8343 0.5000  7 Pr 3.66-3.69, 2 Tb 3.67, 3 Pm 3.68-3.69
4 Pr 0.3334 0.6666 0.0000  7 Pr 3.68, 2 Pm 3.68, 3 Tb 3.68
5 Pr 0.6666 0.3334 0.0000  7 Pr 3.68, 2 Pm 3.68, 3 Tb 3.68
6 Pr 0.8343 0.1657 0.5000  7 Pr 3.66-3.69, 2 Tb 3.67, 3 Pm 3.68-3.69

---

2.
## BaSnHPd2 (PBE)

Data for a relaxed structure of BaSnHPd2.

Summary:
- DOS at the Fermi energy (states/eV/f.u.) = 2.714
- V (Å³ per cell) = 200
- DFT total energy (eV/cell) = -45.18
- space group = Cmcm

Cell: 6.4479 6.4479 7.7127 Å, 90.00 90.00 141.30°
Closest atoms and distances in Å follow each position.
Sites, in units of the cell vectors:
1 Ba 0.0525 0.9475 0.7500  4 H 2.95
2 Ba 0.9475 0.0525 0.2500  4 H 2.95
3 Sn 0.2252 0.7748 0.2500  6 Pd 2.75-2.77
4 Sn 0.7748 0.2252 0.7500  6 Pd 2.75-2.77
5 H 0.5000 0.5000 0.0000  2 Pd 1.94
6 H 0.5000 0.5000 0.5000  2 Pd 1.94
7 Pd 0.3447 0.6553 0.5551  1 H 1.94
8 Pd 0.3447 0.6553 0.9449  1 H 1.94
9 Pd 0.6553 0.3447 0.0551  1 H 1.94
10 Pd 0.6553 0.3447 0.4449  1 H 1.94